[1]
A plane-wave DFT calculation with PBE-GGA was carried out for crystalline HoScCBr at its relaxed geometry.

Cell: 3.5631 3.5631 20.5833 Å, 90.00 90.00 120.00°
Last column: nearest neighbours and their distance in Å.
Space group R3m (No. 160, hexagonal axes)
Unique sites:
Ho 0.0000 0.0000 0.0000 x3  3 C 2.47
Sc 0.0000 0.0000 0.2161 x3  3 C 2.31
C 0.0000 0.0000 0.6006 x3  3 Sc 2.31, 3 Ho 2.47
Br 0.0000 0.0000 0.7780 x3  3 Sc 2.98, 3 Ho 3.08

crystal system: trigonal
DFT total energy: -6.41 eV/atom

[2]
A plane-wave DFT calculation with PBE-GGA was carried out for crystalline Pr2SmY3 at its relaxed geometry.

Cell: 9.0829 9.9902 9.1011 Å, 90.00 101.24 90.00°
Last column: nearest neighbours and their distance in Å.
Space group C2/c (No. 15)
Unique sites:
Pr 0.1240 0.2486 0.1259 x8  2 Pr 3.49-3.54, 9 Y 3.74-3.78, 3 Sm 3.75-3.79
Sm 0.0000 0.4148 0.7500 x4  5 Y 3.32-3.51
Y 0.0000 0.0829 0.7500 x4  1 Sm 3.32, 4 Y 3.34-3.52
Y 0.2480 0.4171 0.4992 x8  2 Sm 3.32-3.51, 3 Y 3.34-3.52

crystal system: monoclinic
E above lowest polymorph: 0 meV/atom
formation enthalpy at 0 K: 0.38 eV per formula unit

[3]
A plane-wave DFT calculation with PBE-GGA was carried out for crystalline Ca2HfTaIr at its relaxed geometry.

Cell: 5.2947 5.2947 4.9422 Å, 90.00 90.00 90.00°
Last column: nearest neighbours and their distance in Å.
Space group P4/mmm (No. 123)
Unique sites:
Ca 0.0000 0.5000 0.0000 x2  2 Ir 2.65
Hf 0.0000 0.0000 0.5000 x1  8 Ca 3.62, 4 Ta 3.74
Ta 0.5000 0.5000 0.5000 x1  2 Ir 2.47
Ir 0.5000 0.5000 0.0000 x1  2 Ta 2.47, 4 Ca 2.65

crystal system: tetragonal
formation enthalpy at 0 K: 3.54 eV per formula unit

[4]
A plane-wave DFT calculation with PBE-GGA was carried out for crystalline Te2MoCl at its relaxed geometry.

Cell: 5.6823 8.6010 4.0320 Å, 90.00 90.00 90.00°
Last column: nearest neighbours and their distance in Å.
Space group Cmmm (No. 65)
Unique sites:
Te 0.2500 0.2500 0.0000 x4  2 Te 2.84
Mo 0.0000 0.0000 0.5000 x2  2 Cl 2.84
Cl 0.0000 0.5000 0.5000 x2  2 Mo 2.84

crystal system: orthorhombic
E above lowest polymorph: 734 meV/atom

[5]
A plane-wave DFT calculation with PBE-GGA was carried out for crystalline Cd2SbRhCl at its relaxed geometry.

Cell: 5.3906 5.3906 4.4085 Å, 90.00 90.00 90.00°
Last column: nearest neighbours and their distance in Å.
Space group P4/mmm (No. 123)
Unique sites:
Cd 0.0000 0.5000 0.0000 x2  2 Rh 2.70
Sb 0.0000 0.0000 0.5000 x1  8 Cd 3.48, 4 Cl 3.81
Rh 0.5000 0.5000 0.0000 x1  2 Cl 2.20
Cl 0.5000 0.5000 0.5000 x1  2 Rh 2.20

crystal system: tetragonal
DFT total energy: -2.80 eV/atom

[6]
A plane-wave DFT calculation with PBE-GGA was carried out for crystalline IrOsAu2 at its relaxed geometry.

Cell: 2.8116 2.8116 8.2317 Å, 90.00 90.00 90.00°
Last column: nearest neighbours and their distance in Å.
Space group P4mm (No. 99)
Unique sites:
Ir 0.0000 0.0000 0.0000 x1  4 Os 2.61, 4 Ir 2.81
Os 0.5000 0.5000 0.2054 x1  4 Ir 2.61, 4 Os 2.81, 4 Au 2.91
Au 0.0000 0.0000 0.4636 x1  8 Au 2.81-3.00, 4 Os 2.91
Au 0.5000 0.5000 0.7372 x1  8 Au 2.81-3.00, 4 Ir 2.94

crystal system: tetragonal
E above lowest polymorph: 0 meV/atom
formation enthalpy at 0 K: 0.94 eV per formula unit